[1]
La2Zn5Au4: relaxed, PBE.

a b c (Å): 5.598 5.523 8.984
angles (deg): 80.92 71.85 59.55
Fractional positions:
Au1 0.212 0.315 0.260
Zn1 0.000 0.500 0.000
Au2 0.473 0.315 0.740
Zn2 0.750 0.500 0.500
La1 0.865 0.000 0.269
Zn3 0.500 0.500 0.000
Au3 0.527 0.685 0.260
Zn4 0.250 0.500 0.500
La2 0.135 0.000 0.731
Zn5 0.500 0.000 0.000
Au4 0.788 0.685 0.740

Properties
* D(E_F): 4.7 states/eV/cell
* symmetry: Fmmm (69)
* E_form: -0.520 eV/atom

[2]
La3Zn3Au2: relaxed, PBE.

a b c (Å): 4.666 5.905 15.537
angles (deg): 90.00 90.00 113.27
Fractional positions:
La1 0.104 0.208 0.900
La2 0.371 0.742 0.750
La3 0.896 0.792 0.100
Au1 0.808 0.617 0.606
Zn1 0.660 0.321 0.750
Au2 0.192 0.383 0.394
Zn2 0.604 0.209 0.042
Zn3 0.396 0.791 0.958
Zn4 0.340 0.679 0.250
Au3 0.808 0.617 0.894
La4 0.104 0.208 0.600
Au4 0.192 0.383 0.106
Zn5 0.396 0.791 0.542
La5 0.629 0.258 0.250
Zn6 0.604 0.209 0.458
La6 0.896 0.792 0.400

Properties
* D(E_F): 13.7 states/eV/cell
* symmetry: Cmcm (63)
* E_form: -0.563 eV/atom

[3]
LaZnAu2: relaxed, PBE.

a b c (Å): 4.854 3.789 5.198
angles (deg): 90.02 90.00 90.00
Fractional positions:
La1 0.000 0.500 0.472
Au1 0.000 0.000 0.969
Au2 0.500 0.000 0.280
Zn1 0.500 0.000 0.779

Properties
* D(E_F): 2.4 states/eV/cell
* symmetry: Pmm2 (25)
* E_form: -0.552 eV/atom

[4]
LaZn3Au3: relaxed, PBE.

a b c (Å): 7.102 7.102 7.735
angles (deg): 62.67 62.67 60.00
Fractional positions:
Au1 0.924 0.164 0.220
Zn1 0.549 0.727 0.619
Zn2 0.895 0.451 0.381
Au2 0.076 0.836 0.780
Au3 0.164 0.691 0.220
Au4 0.309 0.076 0.780
Zn3 0.727 0.105 0.619
Zn4 0.105 0.549 0.619
Zn5 0.273 0.895 0.381
La1 0.660 0.660 0.020
Zn6 0.451 0.273 0.381
La2 0.340 0.340 0.980
Au5 0.691 0.924 0.220
Au6 0.836 0.309 0.780

Properties
* D(E_F): 6.1 states/eV/cell
* excess energy over the best structure of this formula in the dataset: 7.4 meV per atom
* symmetry: R-3 (148)
* E_form: -0.372 eV/atom

[5]
La3ZnAu3: relaxed, PBE.

a b c (Å): 4.384 6.047 15.028
angles (deg): 85.23 81.61 68.75
Fractional positions:
Au1 0.877 0.168 0.078
Au2 0.974 0.814 0.237
Au3 0.026 0.186 0.763
La1 0.540 0.314 0.607
La2 0.742 0.751 0.766
La3 0.600 0.721 0.079
Zn1 0.241 0.912 0.607
La4 0.400 0.279 0.921
Zn2 0.759 0.088 0.393
La5 0.460 0.686 0.393
Au4 0.865 0.722 0.549
Au5 0.135 0.278 0.451
Au6 0.123 0.832 0.922
La6 0.258 0.249 0.234

Properties
* D(E_F): 11.7 states/eV/cell
* symmetry: C2/m (12)
* E_form: -0.723 eV/atom

[6]
La3Zn3Au8: relaxed, PBE.

a b c (Å): 4.731 8.686 8.570
angles (deg): 64.15 73.98 74.19
Fractional positions:
Au1 0.128 0.161 0.582
Zn1 0.669 0.669 0.992
Au2 0.872 0.839 0.418
La1 0.706 0.278 0.309
Au3 0.652 0.966 0.731
Au4 0.494 0.331 0.681
Au5 0.863 0.425 0.850
Au6 0.137 0.575 0.150
Zn2 0.331 0.331 0.008
La2 0.294 0.722 0.691
La3 0.000 0.000 0.000
Au7 0.506 0.669 0.319
Zn3 0.000 0.500 0.500
Au8 0.348 0.034 0.269

Properties
* D(E_F): 7.2 states/eV/cell
* symmetry: C2/m (12)
* E_form: -0.637 eV/atom